The following is a PBE-GGA calculation of crystalline Pm6Nd2Ho3Mg at its relaxed geometry, from Alexandria via LeMat-Bulk.

abc: 6.228 6.228 11.866
angles: 95.03 95.03 120.03
Atoms (fractional coordinates):
Pm: 0.917 0.586 0.748
Pm: 0.752 0.752 0.253
Pm: 0.083 0.414 0.252
Pm: 0.586 0.917 0.748
Pm: 0.248 0.248 0.747
Pm: 0.414 0.083 0.252
Nd: 0.333 0.667 0.000
Nd: 0.667 0.333 0.000
Ho: 0.166 0.834 0.500
Ho: 0.834 0.166 0.500
Ho: 0.500 0.500 0.500
Mg: 0.000 0.000 0.000

Crystal system ... monoclinic

=====

The following is a PBE-GGA calculation of crystalline PmNd6Ho2Mg at its relaxed geometry, from Alexandria via LeMat-Bulk.

abc: 9.514 8.639 8.639
angles: 106.03 96.38 96.38
Atoms (fractional coordinates):
Pm: 0.250 0.936 0.064
Pm: 0.750 0.064 0.936
Nd: 0.075 0.079 0.740
Nd: 0.425 0.260 0.921
Nd: 0.925 0.921 0.260
Nd: 0.575 0.740 0.079
Nd: 0.329 0.033 0.462
Nd: 0.171 0.538 0.967
Nd: 0.671 0.967 0.538
Nd: 0.829 0.462 0.033
Nd: 0.096 0.673 0.437
Nd: 0.404 0.563 0.327
Nd: 0.904 0.327 0.563
Nd: 0.596 0.437 0.673
Ho: 0.406 0.800 0.731
Ho: 0.094 0.269 0.200
Ho: 0.594 0.200 0.269
Ho: 0.906 0.731 0.800
Mg: 0.250 0.402 0.598
Mg: 0.750 0.598 0.402

Crystal system ... monoclinic

=====

The following is a PBE-GGA calculation of crystalline PrNd6Ho2Mg at its relaxed geometry, from Alexandria via LeMat-Bulk.

abc: 9.549 8.648 8.648
angles: 105.97 96.56 96.56
Atoms (fractional coordinates):
Pr: 0.250 0.936 0.064
Pr: 0.750 0.064 0.936
Nd: 0.074 0.079 0.737
Nd: 0.426 0.263 0.921
Nd: 0.926 0.921 0.263
Nd: 0.574 0.737 0.079
Nd: 0.329 0.034 0.463
Nd: 0.171 0.537 0.966
Nd: 0.671 0.966 0.537
Nd: 0.829 0.463 0.034
Nd: 0.096 0.672 0.437
Nd: 0.404 0.563 0.328
Nd: 0.904 0.328 0.563
Nd: 0.596 0.437 0.672
Ho: 0.406 0.798 0.731
Ho: 0.094 0.269 0.202
Ho: 0.594 0.202 0.269
Ho: 0.906 0.731 0.798
Mg: 0.250 0.402 0.598
Mg: 0.750 0.598 0.402

Crystal system ... monoclinic

=====

The following is a PBE-GGA calculation of crystalline Pr6NdHo2Mg at its relaxed geometry, from Alexandria via LeMat-Bulk.

abc: 9.088 9.281 9.281
angles: 119.08 90.99 90.99
Atoms (fractional coordinates):
Pr: 0.051 0.124 0.795
Pr: 0.449 0.205 0.876
Pr: 0.949 0.876 0.205
Pr: 0.551 0.795 0.124
Pr: 0.300 0.036 0.458
Pr: 0.200 0.542 0.964
Pr: 0.700 0.964 0.542
Pr: 0.800 0.458 0.036
Pr: 0.096 0.730 0.475
Pr: 0.404 0.525 0.270
Pr: 0.904 0.270 0.525
Pr: 0.596 0.475 0.730
Nd: 0.250 0.967 0.033
Nd: 0.750 0.033 0.967
Ho: 0.448 0.780 0.681
Ho: 0.052 0.319 0.220
Ho: 0.552 0.220 0.319
Ho: 0.948 0.681 0.780
Mg: 0.250 0.439 0.561
Mg: 0.750 0.561 0.439

Crystal system ... monoclinic

=====

Number 1: ΔH_f (0 K) 0.012 eV per atom. Number 2: ΔH_f (0 K) 0.105 eV per atom. Number 3: ΔH_f (0 K) 0.103 eV per atom. Number 4: ΔH_f (0 K) 0.112 eV per atom.